No. 1
{
  "formula": "Tb2Mo4O15",
  "functional": "SCAN",
  "state": "single point on PBEsol structure",
  "volume_a3_per_atom": 15.8,
  "n_ef_per_ev_atom": 0.0000,
  "energy_ev_per_fu": -381.55,
  "total_magnetization_mub_per_cell": 0.00,
  "lattice_angstrom": [[6.7580, 0.0000, 0.0000], [0.0000, 9.6072, 0.0000], [-2.7946, 0.0000, 10.2384]],
  "species": ["Tb", "Tb", "Tb", "Tb", "Mo", "Mo", "Mo", "Mo", "Mo", "Mo", "Mo", "Mo", "O", "O", "O", "O", "O", "O", "O", "O", "O", "O", "O", "O", "O", "O", "O", "O", "O", "O", "O", "O", "O", "O", "O", "O", "O", "O", "O", "O", "O", "O"],
  "fractional_positions": [[0.2110, 0.0233, 0.2755], [0.2110, 0.4767, 0.7755], [0.7890, 0.5233, 0.2245], [0.7890, 0.9767, 0.7245], [0.0820, 0.7447, 0.0113], [0.0820, 0.7553, 0.5113], [0.3828, 0.0951, 0.8444], [0.3828, 0.4049, 0.3444], [0.6172, 0.5951, 0.6556], [0.6172, 0.9049, 0.1556], [0.9180, 0.2447, 0.4887], [0.9180, 0.2553, 0.9887], [0.0223, 0.1286, 0.3967], [0.0223, 0.3714, 0.8967], [0.1179, 0.1646, 0.0973], [0.1179, 0.3354, 0.5973], [0.1236, 0.0549, 0.8185], [0.1236, 0.4451, 0.3185], [0.2176, 0.6528, 0.9179], [0.2176, 0.8472, 0.4179], [0.2498, 0.6350, 0.6166], [0.2498, 0.8650, 0.1166], [0.3868, 0.2238, 0.3502], [0.3868, 0.2762, 0.8502], [0.4469, 0.0274, 0.7075], [0.4469, 0.4726, 0.2075], [0.5000, 0.0000, 0.0000], [0.5000, 0.5000, 0.5000], [0.5531, 0.5274, 0.7925], [0.5531, 0.9726, 0.2925], [0.6132, 0.7238, 0.1498], [0.6132, 0.7762, 0.6498], [0.7502, 0.1350, 0.8834], [0.7502, 0.3650, 0.3834], [0.7824, 0.1528, 0.5821], [0.7824, 0.3472, 0.0821], [0.8764, 0.5549, 0.6815], [0.8764, 0.9451, 0.1815], [0.8821, 0.6646, 0.4027], [0.8821, 0.8354, 0.9027], [0.9777, 0.6286, 0.1033], [0.9777, 0.8714, 0.6033]]
}


No. 2
{
  "formula": "Tb2Mo3O12",
  "functional": "SCAN",
  "state": "single point on PBEsol structure",
  "volume_a3_per_atom": 16.6,
  "n_ef_per_ev_atom": 0.0000,
  "energy_ev_per_fu": -319.51,
  "total_magnetization_mub_per_cell": 0.00,
  "lattice_angstrom": [[10.3106, 0.0000, 0.0000], [0.0000, 10.3402, 0.0000], [0.0000, 0.0000, 10.6013]],
  "species": ["Tb", "Tb", "Tb", "Tb", "Tb", "Tb", "Tb", "Tb", "Mo", "Mo", "Mo", "Mo", "Mo", "Mo", "Mo", "Mo", "Mo", "Mo", "Mo", "Mo", "O", "O", "O", "O", "O", "O", "O", "O", "O", "O", "O", "O", "O", "O", "O", "O", "O", "O", "O", "O", "O", "O", "O", "O", "O", "O", "O", "O", "O", "O", "O", "O", "O", "O", "O", "O", "O", "O", "O", "O", "O", "O", "O", "O", "O", "O", "O", "O"],
  "fractional_positions": [[0.0066, 0.1871, 0.0000], [0.1871, 0.5041, 0.4737], [0.3129, 0.0041, 0.4737], [0.4934, 0.6871, 0.0000], [0.5066, 0.3129, 0.0000], [0.6871, 0.9959, 0.4737], [0.8129, 0.4959, 0.4737], [0.9934, 0.8129, 0.0000], [0.0027, 0.7936, 0.3801], [0.2055, 0.5107, 0.0930], [0.2427, 0.7566, 0.7365], [0.2573, 0.2566, 0.7365], [0.2945, 0.0107, 0.0930], [0.4973, 0.2936, 0.3801], [0.5027, 0.7064, 0.3801], [0.7055, 0.9893, 0.0930], [0.7427, 0.7434, 0.7365], [0.7573, 0.2434, 0.7365], [0.7945, 0.4893, 0.0930], [0.9973, 0.2064, 0.3801], [0.0053, 0.3732, 0.4285], [0.0189, 0.1954, 0.2166], [0.1158, 0.3827, 0.0289], [0.1212, 0.1187, 0.4541], [0.1222, 0.8281, 0.8307], [0.1273, 0.9950, 0.0462], [0.1433, 0.1823, 0.8364], [0.1524, 0.6624, 0.0403], [0.1572, 0.8502, 0.4210], [0.1712, 0.6415, 0.6363], [0.1829, 0.3752, 0.6421], [0.1933, 0.5097, 0.2574], [0.3067, 0.0097, 0.2574], [0.3171, 0.8752, 0.6421], [0.3288, 0.1415, 0.6363], [0.3428, 0.3502, 0.4210], [0.3476, 0.1624, 0.0403], [0.3567, 0.6823, 0.8364], [0.3727, 0.4950, 0.0462], [0.3778, 0.3281, 0.8307], [0.3788, 0.6187, 0.4541], [0.3842, 0.8827, 0.0289], [0.4811, 0.6954, 0.2166], [0.4947, 0.8732, 0.4285], [0.5053, 0.1268, 0.4285], [0.5189, 0.3046, 0.2166], [0.6158, 0.1173, 0.0289], [0.6212, 0.3813, 0.4541], [0.6222, 0.6719, 0.8307], [0.6273, 0.5050, 0.0462], [0.6433, 0.3177, 0.8364], [0.6524, 0.8376, 0.0403], [0.6572, 0.6498, 0.4210], [0.6712, 0.8585, 0.6363], [0.6829, 0.1248, 0.6421], [0.6933, 0.9903, 0.2574], [0.8067, 0.4903, 0.2574], [0.8171, 0.6248, 0.6421], [0.8288, 0.3585, 0.6363], [0.8428, 0.1498, 0.4210], [0.8476, 0.3376, 0.0403], [0.8567, 0.8177, 0.8364], [0.8727, 0.0050, 0.0462], [0.8778, 0.1719, 0.8307], [0.8788, 0.8813, 0.4541], [0.8842, 0.6173, 0.0289], [0.9811, 0.8046, 0.2166], [0.9947, 0.6268, 0.4285]]
}


No. 3
{
  "formula": "Tb2Mo3O12",
  "functional": "SCAN",
  "state": "single point on PBEsol structure",
  "volume_a3_per_atom": 16.8,
  "n_ef_per_ev_atom": 0.0000,
  "energy_ev_per_fu": -319.49,
  "total_magnetization_mub_per_cell": 0.00,
  "lattice_angstrom": [[7.3453, 0.0000, 0.0000], [0.0000, 7.3453, 0.0000], [0.0000, 0.0000, 10.5778]],
  "species": ["Tb", "Tb", "Tb", "Tb", "Mo", "Mo", "Mo", "Mo", "Mo", "Mo", "O", "O", "O", "O", "O", "O", "O", "O", "O", "O", "O", "O", "O", "O", "O", "O", "O", "O", "O", "O", "O", "O", "O", "O"],
  "fractional_positions": [[0.1862, 0.3138, 0.2376], [0.3138, 0.8138, 0.7624], [0.6862, 0.1862, 0.7624], [0.8138, 0.6862, 0.2376], [0.0000, 0.0000, 0.5000], [0.2070, 0.2930, 0.8556], [0.2930, 0.7930, 0.1444], [0.5000, 0.5000, 0.5000], [0.7070, 0.2070, 0.1444], [0.7930, 0.7070, 0.8556], [0.0051, 0.7746, 0.7965], [0.0428, 0.1900, 0.4032], [0.1262, 0.6262, 0.1912], [0.1900, 0.9572, 0.5968], [0.1951, 0.3049, 0.0206], [0.2254, 0.0051, 0.2035], [0.2746, 0.5051, 0.7965], [0.3049, 0.8049, 0.9794], [0.3100, 0.4572, 0.4032], [0.3738, 0.1262, 0.8088], [0.4572, 0.6900, 0.5968], [0.4949, 0.2746, 0.2035], [0.5051, 0.7254, 0.2035], [0.5428, 0.3100, 0.5968], [0.6262, 0.8738, 0.8088], [0.6900, 0.5428, 0.4032], [0.6951, 0.1951, 0.9794], [0.7254, 0.4949, 0.7965], [0.7746, 0.9949, 0.2035], [0.8049, 0.6951, 0.0206], [0.8100, 0.0428, 0.5968], [0.8738, 0.3738, 0.1912], [0.9572, 0.8100, 0.4032], [0.9949, 0.2254, 0.7965]]
}


No. 4
{
  "formula": "Y2Te3MoO12",
  "functional": "SCAN",
  "state": "single point on PBEsol structure",
  "volume_a3_per_atom": 13.7,
  "n_ef_per_ev_atom": 0.0000,
  "energy_ev_per_fu": -317.28,
  "total_magnetization_mub_per_cell": 0.00,
  "lattice_angstrom": [[17.2636, 0.0000, 0.0000], [0.0000, 11.0405, 0.0000], [0.0000, 0.0000, 5.1859]],
  "species": ["Y", "Y", "Y", "Y", "Y", "Y", "Y", "Y", "Te", "Te", "Te", "Te", "Te", "Te", "Te", "Te", "Te", "Te", "Te", "Te", "Mo", "Mo", "Mo", "Mo", "O", "O", "O", "O", "O", "O", "O", "O", "O", "O", "O", "O", "O", "O", "O", "O", "O", "O", "O", "O", "O", "O", "O", "O", "O", "O", "O", "O", "O", "O", "O", "O", "O", "O", "O", "O", "O", "O", "O", "O", "O", "O", "O", "O", "O", "O", "O", "O"],
  "fractional_positions": [[0.0605, 0.0776, 0.2460], [0.0605, 0.4224, 0.2460], [0.4395, 0.5776, 0.7460], [0.4395, 0.9224, 0.7460], [0.5605, 0.0776, 0.2540], [0.5605, 0.4224, 0.2540], [0.9395, 0.5776, 0.7540], [0.9395, 0.9224, 0.7540], [0.0500, 0.7500, 0.2827], [0.1727, 0.5852, 0.7276], [0.1727, 0.9148, 0.7276], [0.3273, 0.0852, 0.2276], [0.3273, 0.4148, 0.2276], [0.4500, 0.2500, 0.7827], [0.5500, 0.7500, 0.2173], [0.6727, 0.5852, 0.7724], [0.6727, 0.9148, 0.7724], [0.8273, 0.0852, 0.2724], [0.8273, 0.4148, 0.2724], [0.9500, 0.2500, 0.7173], [0.1762, 0.2500, 0.7370], [0.3238, 0.7500, 0.2370], [0.6762, 0.2500, 0.7630], [0.8238, 0.7500, 0.2630], [0.0114, 0.6133, 0.0967], [0.0114, 0.8867, 0.0967], [0.0395, 0.2500, 0.4915], [0.0711, 0.5652, 0.5789], [0.0711, 0.9348, 0.5789], [0.1177, 0.2500, 0.0230], [0.1429, 0.7500, 0.8625], [0.1610, 0.5076, 0.0432], [0.1610, 0.9924, 0.0432], [0.1727, 0.1169, 0.5377], [0.1727, 0.3831, 0.5377], [0.2309, 0.7500, 0.3599], [0.2691, 0.2500, 0.8599], [0.3273, 0.6169, 0.0377], [0.3273, 0.8831, 0.0377], [0.3390, 0.0076, 0.5432], [0.3390, 0.4924, 0.5432], [0.3571, 0.2500, 0.3625], [0.3823, 0.7500, 0.5230], [0.4289, 0.0652, 0.0789], [0.4289, 0.4348, 0.0789], [0.4605, 0.7500, 0.9915], [0.4886, 0.1133, 0.5967], [0.4886, 0.3867, 0.5967], [0.5114, 0.6133, 0.4033], [0.5114, 0.8867, 0.4033], [0.5395, 0.2500, 0.0085], [0.5711, 0.5652, 0.9211], [0.5711, 0.9348, 0.9211], [0.6177, 0.2500, 0.4770], [0.6429, 0.7500, 0.6375], [0.6610, 0.5076, 0.4568], [0.6610, 0.9924, 0.4568], [0.6727, 0.1169, 0.9623], [0.6727, 0.3831, 0.9623], [0.7309, 0.7500, 0.1401], [0.7691, 0.2500, 0.6401], [0.8273, 0.6169, 0.4623], [0.8273, 0.8831, 0.4623], [0.8390, 0.0076, 0.9568], [0.8390, 0.4924, 0.9568], [0.8571, 0.2500, 0.1375], [0.8823, 0.7500, 0.9770], [0.9289, 0.0652, 0.4211], [0.9289, 0.4348, 0.4211], [0.9605, 0.7500, 0.5085], [0.9886, 0.1133, 0.9033], [0.9886, 0.3867, 0.9033]]
}


No. 5
{
  "formula": "TiMoO2",
  "functional": "SCAN",
  "state": "single point on PBEsol structure",
  "volume_a3_per_atom": 9.7,
  "n_ef_per_ev_atom": 1.0028,
  "energy_ev_per_fu": -68.08,
  "total_magnetization_mub_per_cell": 0.00,
  "lattice_angstrom": [[0.0000, 2.6861, 2.6861], [2.6861, 0.0000, 2.6861], [2.6861, 2.6861, 0.0000]],
  "species": ["Ti", "Mo", "O", "O"],
  "fractional_positions": [[0.0000, 0.0000, 0.0000], [0.5000, 0.5000, 0.5000], [0.2500, 0.2500, 0.2500], [0.7500, 0.7500, 0.7500]]
}


No. 6
{
  "formula": "TlMo6O17",
  "functional": "SCAN",
  "state": "single point on PBEsol structure",
  "volume_a3_per_atom": 15.3,
  "n_ef_per_ev_atom": 0.0651,
  "energy_ev_per_fu": -436.97,
  "total_magnetization_mub_per_cell": 0.00,
  "lattice_angstrom": [[5.5203, 0.0000, 0.0000], [-2.7602, 4.7808, 0.0000], [0.0000, 0.0000, 13.9389]],
  "species": ["Tl", "Mo", "Mo", "Mo", "Mo", "Mo", "Mo", "O", "O", "O", "O", "O", "O", "O", "O", "O", "O", "O", "O", "O", "O", "O", "O", "O"],
  "fractional_positions": [[0.0000, 0.0000, 0.0000], [0.0000, 0.0000, 0.2852], [0.0000, 0.0000, 0.7148], [0.3333, 0.6667, 0.4302], [0.3333, 0.6667, 0.8602], [0.6667, 0.3333, 0.1398], [0.6667, 0.3333, 0.5698], [0.0000, 0.5000, 0.5000], [0.1585, 0.3170, 0.8183], [0.1585, 0.8415, 0.8183], [0.1637, 0.3275, 0.3463], [0.1637, 0.8363, 0.3463], [0.3170, 0.1585, 0.1817], [0.3275, 0.1637, 0.6537], [0.3333, 0.6667, 0.9840], [0.5000, 0.0000, 0.5000], [0.5000, 0.5000, 0.5000], [0.6667, 0.3333, 0.0160], [0.6725, 0.8363, 0.3463], [0.6830, 0.8415, 0.8183], [0.8363, 0.1637, 0.6537], [0.8363, 0.6725, 0.6537], [0.8415, 0.1585, 0.1817], [0.8415, 0.6830, 0.1817]]
}